# MnBrF2 | Alexandria via LeMat-Bulk | GGA+U | relaxed
# Energy relative to the lowest polymorph listed for this composition (kJ/mol of formula units): 307
# Crystal system: cubic
# Spin magnetization (μB per cell): 16.00
# Calculated volume (Å³ per cell): 238.58
data_MnBrF2
_chemical_formula_sum 'Mn4 Br4 F8'
_cell_length_a 6.202
_cell_length_b 6.202
_cell_length_c 6.202
_cell_angle_alpha 90.00
_cell_angle_beta 90.00
_cell_angle_gamma 90.00
_space_group_name_H-M_alt 'F m -3 m'
_space_group_IT_number 225
_space_group_name_Hall '-F 4 2 3'
loop_
_atom_site_label
_atom_site_type_symbol
_atom_site_fract_x
_atom_site_fract_y
_atom_site_fract_z
Mn1 Mn 0.000 0.000 0.000
Br1 Br 0.000 0.000 0.500
F1 F 0.250 0.250 0.250